ZnBi2PdN, relaxed, DFT PBE; mass density = 9.15 Mg/m³; uncorrected formation energy = 0.707 eV per atom; SG = P4/mmm (123); crystal system = tetragonal; magnetic moment = 0.00 Bohr magnetons per cell; V = 21.9 Å³/atom
1.0
5.589 0.000 0.000
0.000 3.509 0.000
0.000 0.000 5.589
Pd Bi Zn N
1 2 1 1
Direct
0.500 0.500 0.500
0.500 0.000 0.000
0.000 0.000 0.500
0.000 0.000 0.000
0.000 0.500 0.000